Record 1
The following is a PBE calculation of crystalline YHgH2 at its relaxed geometry, from the Alexandria database.

a b c (Å): 6.059 6.059 6.059
angles (deg): 90.00 90.00 90.00
Space group Fm-3m (No. 225)
Symmetry-distinct sites (fractional):
Y 0.000 0.000 0.000 x4
Hg 0.000 0.000 0.500 x4
H 0.250 0.250 0.250 x8

Summary:
Calculated volume (Å³/atom): 13.9
ρ (g/cm3): 8.704
Polymorph energy (0 for the lowest one) (eV per atom): 0.342



Record 2
The following is a PBE calculation of crystalline YHgH2 at its relaxed geometry, from the Alexandria database.

a b c (Å): 3.655 5.220 6.395
angles (deg): 90.00 102.62 90.00
Space group P2_1/m (No. 11)
Symmetry-distinct sites (fractional):
Y 0.191 0.250 0.346 x2
Hg 0.380 0.750 0.095 x2
H 0.295 0.518 0.612 x4

Summary:
Calculated volume (Å³/atom): 14.9
ρ (g/cm3): 8.131
Polymorph energy (0 for the lowest one) (eV per atom): 0.000



Record 3
The following is a PBE calculation of crystalline YHgH2 at its relaxed geometry, from the Alexandria database.

a b c (Å): 3.655 5.281 6.343
angles (deg): 90.00 90.00 90.00
Space group Pmn2_1 (No. 31)
Symmetry-distinct sites (fractional):
Y 0.000 0.001 0.000 x2
Hg 0.000 0.547 0.662 x2
H 0.000 0.006 0.333 x2
H 0.000 0.161 0.667 x2

Summary:
Calculated volume (Å³/atom): 15.3
ρ (g/cm3): 7.907
Polymorph energy (0 for the lowest one) (eV per atom): 0.001



Record 4
The following is a PBE calculation of crystalline YZn2HgH at its relaxed geometry, from the Alexandria database.

a b c (Å): 4.497 4.497 4.205
angles (deg): 90.00 90.00 90.00
Space group P4/mmm (No. 123)
Symmetry-distinct sites (fractional):
Y 0.000 0.000 0.000 x1
Zn 0.000 0.500 0.500 x2
Hg 0.500 0.500 0.000 x1
H 0.000 0.000 0.500 x1

Summary:
Calculated volume (Å³/atom): 17.0
ρ (g/cm3): 8.226
E (eV/atom): -2.734